Density functional theory data (PBE) for a relaxed BaIr3Pd crystal.

Values from the calculation:
Distance to the lowest polymorph of the same formula: 0.0 meV per atom
D(E_F): 5.9 states/eV/f.u.
Energy of formation: 1211 meV/atom
VASP energy: -27.645 eV per cell

Geometry as POSCAR:
```
BaIr3Pd
1.0
-3.351 2.407 -2.679
-3.012 -3.879 0.283
-1.974 1.833 4.116
Ir Ba Pd
3 1 1
direct
0.000 0.500 0.000
0.000 0.000 0.500
0.500 0.000 0.000
0.500 0.500 0.500
0.000 0.000 0.000
```

Density functional theory data (PBE) for a relaxed Ba2Ir2Pd crystal.

Values from the calculation:
D(E_F): 0.9 states/eV/f.u.
Energy of formation: 30 meV/atom
VASP energy: -53.225 eV per cell

Geometry as POSCAR:
```
Ba2Ir2Pd
1.0
-1.151 -6.783 -1.790
6.952 -0.860 -1.213
0.659 -1.363 4.741
Ir Ba Pd
4 4 2
direct
0.377 0.877 0.000
0.877 0.623 0.000
0.623 0.123 0.000
0.123 0.377 0.000
0.184 0.684 0.500
0.684 0.816 0.500
0.816 0.316 0.500
0.316 0.184 0.500
0.000 0.000 0.000
0.500 0.500 0.000
```

Density functional theory data (PBE) for a relaxed BaIrPd2 crystal.

Values from the calculation:
Distance to the lowest polymorph of the same formula: 524.6 meV per atom
D(E_F): 6.8 states/eV/f.u.
Energy of formation: 327 meV/atom
VASP energy: -19.863 eV per cell

Geometry as POSCAR:
```
BaIrPd2
1.0
0.000 3.451 3.451
3.451 0.000 3.451
3.451 3.451 0.000
Ir Ba Pd
1 1 2
direct
0.500 0.500 0.500
0.000 0.000 0.000
0.250 0.250 0.250
0.750 0.750 0.750
```

Density functional theory data (PBE) for a relaxed BaIrPd2 crystal.

Values from the calculation:
Distance to the lowest polymorph of the same formula: 313.2 meV per atom
D(E_F): 3.5 states/eV/f.u.
Energy of formation: 115 meV/atom
VASP energy: -41.417 eV per cell

Geometry as POSCAR:
```
BaIrPd2
1.0
5.020 0.000 0.000
0.000 5.020 0.000
2.510 2.510 8.752
Ir Ba Pd
2 2 4
direct
0.000 0.000 0.000
0.750 0.250 0.500
0.500 0.500 0.000
0.250 0.750 0.500
0.825 0.125 0.250
0.925 0.625 0.250
0.375 0.175 0.750
0.875 0.075 0.750
```

Density functional theory data (PBE) for a relaxed BaIrPd2 crystal.

Values from the calculation:
Distance to the lowest polymorph of the same formula: 15.7 meV per atom
D(E_F): 4.0 states/eV/f.u.
Energy of formation: -182 meV/atom
VASP energy: -65.696 eV per cell

Geometry as POSCAR:
```
BaIrPd2
1.0
4.531 0.000 0.000
-2.266 3.924 0.000
0.000 0.000 16.513
Ba Ir Pd
3 3 6
direct
0.000 0.000 0.155
0.333 0.667 0.822
0.667 0.333 0.488
0.000 0.000 0.968
0.333 0.667 0.635
0.667 0.333 0.301
0.000 0.000 0.641
0.333 0.667 0.307
0.667 0.333 0.974
0.000 0.000 0.344
0.333 0.667 0.010
0.667 0.333 0.677
```

Density functional theory data (PBE) for a relaxed Ba4Ir2Pd crystal.

Values from the calculation:
D(E_F): 6.4 states/eV/f.u.
Energy of formation: 67 meV/atom
VASP energy: -30.136 eV per cell

Geometry as POSCAR:
```
Ba4Ir2Pd
1.0
-4.432 -1.566 -4.043
4.262 -2.637 -3.650
-0.994 -8.237 -0.474
Ir Ba Pd
2 4 1
direct
0.588 0.588 0.823
0.412 0.412 0.177
0.784 0.784 0.432
0.216 0.216 0.568
0.000 0.500 0.000
0.500 0.000 0.000
0.000 0.000 0.000
```

Density functional theory data (PBE) for a relaxed BaIrPd2 crystal.

Values from the calculation:
Distance to the lowest polymorph of the same formula: 4.1 meV per atom
D(E_F): 4.0 states/eV/f.u.
Energy of formation: -194 meV/atom
VASP energy: -87.779 eV per cell

Geometry as POSCAR:
```
BaIrPd2
1.0
-4.052 3.252 6.256
-0.081 -4.071 2.064
11.313 -0.582 -0.703
Ba Ir Pd
4 4 8
direct
0.687 0.000 0.373
0.687 0.500 0.873
0.121 0.000 0.018
0.121 0.500 0.518
0.893 0.000 0.197
0.893 0.500 0.697
0.731 0.000 0.659
0.731 0.500 0.159
0.418 0.000 0.689
0.418 0.500 0.189
0.117 0.000 0.738
0.117 0.500 0.238
0.507 0.000 0.994
0.507 0.500 0.494
0.297 0.000 0.395
0.297 0.500 0.895
```

Density functional theory data (PBE) for a relaxed BaIr3Pd crystal.

Values from the calculation:
Distance to the lowest polymorph of the same formula: 1710.9 meV per atom
D(E_F): 11.4 states/eV/f.u.
Energy of formation: 2922 meV/atom
VASP energy: -19.091 eV per cell

Geometry as POSCAR:
```
BaIr3Pd
1.0
-4.424 2.241 -1.063
-2.067 -2.130 4.113
1.371 4.021 2.771
Ir Ba Pd
3 1 1
direct
0.000 0.500 0.000
0.000 0.000 0.500
0.500 0.000 0.000
0.000 0.000 0.000
0.500 0.500 0.500
```